Entry 1:
The following is a PBE calculation of a relaxed structure of UGe2Rh2, from Alexandria via LeMat-Bulk.

```
data_UGe2Rh2
_chemical_formula_sum 'U2 Ge4 Rh4'
_space_group_name_H-M_alt 'P 1'
_space_group_IT_number 1
_cell_length_a 4.1922
_cell_length_b 4.1923
_cell_length_c 10.1452
_cell_angle_alpha 90.00
_cell_angle_beta 90.07
_cell_angle_gamma 90.00
loop_
_space_group_symop_operation_xyz
'x,y,z'
loop_
_atom_site_label
_atom_site_fract_x
_atom_site_fract_y
_atom_site_fract_z
_atom_site_occupancy
U1 0.2493 0.2500 0.2422 1
U2 0.7507 0.7500 0.7578 1
Ge1 0.2505 0.2500 0.6314 1
Ge2 0.2510 0.7500 0.0000 1
Ge3 0.7490 0.2500 0.0000 1
Ge4 0.7495 0.7500 0.3686 1
Rh1 0.2485 0.2500 0.8688 1
Rh2 0.2500 0.7500 0.5000 1
Rh3 0.7500 0.2500 0.5000 1
Rh4 0.7515 0.7500 0.1312 1
```

Computed properties:
ΔE_f: -546 meV/atom
distance to the lowest polymorph of the same formula: 0 kJ/mol of formula units
SG: P2_1/m, No. 11

***

Entry 2:
The following is a PBE calculation of a relaxed structure of Dy2Th3In7, from Alexandria via LeMat-Bulk.

```
data_Dy2Th3In7
_chemical_formula_sum 'Dy2 Th3 In7'
_space_group_name_H-M_alt 'P 1'
_space_group_IT_number 1
_cell_length_a 15.5029
_cell_length_b 15.5029
_cell_length_c 4.8327
_cell_angle_alpha 90.00
_cell_angle_beta 90.00
_cell_angle_gamma 162.15
loop_
_space_group_symop_operation_xyz
'x,y,z'
loop_
_atom_site_label
_atom_site_fract_x
_atom_site_fract_y
_atom_site_fract_z
_atom_site_occupancy
Dy1 0.1589 0.8411 0.0000 1
Dy2 0.8411 0.1589 0.0000 1
Th1 0.3495 0.6505 0.5000 1
Th2 0.5000 0.5000 0.5000 1
Th3 0.6505 0.3495 0.5000 1
In1 0.0000 0.0000 0.0000 1
In2 0.0785 0.9215 0.5000 1
In3 0.2733 0.7267 0.0000 1
In4 0.4217 0.5783 0.0000 1
In5 0.5783 0.4217 0.0000 1
In6 0.7267 0.2733 0.0000 1
In7 0.9215 0.0785 0.5000 1
```

Computed properties:
ΔE_f: -121 meV/atom
SG: Cmmm, No. 65

***

Entry 3:
The following is a PBE calculation of a relaxed structure of Hf2HW2, from Alexandria via LeMat-Bulk.

```
data_Hf2HW2
_chemical_formula_sum 'Hf4 H2 W4'
_space_group_name_H-M_alt 'P 1'
_space_group_IT_number 1
_cell_length_a 5.6041
_cell_length_b 5.6041
_cell_length_c 5.1805
_cell_angle_alpha 90.00
_cell_angle_beta 90.00
_cell_angle_gamma 90.00
loop_
_space_group_symop_operation_xyz
'x,y,z'
loop_
_atom_site_label
_atom_site_fract_x
_atom_site_fract_y
_atom_site_fract_z
_atom_site_occupancy
Hf1 0.1686 0.3314 0.0000 1
Hf2 0.3314 0.8314 0.0000 1
Hf3 0.6686 0.1686 0.0000 1
Hf4 0.8314 0.6686 0.0000 1
H1 0.0000 0.0000 0.5000 1
H2 0.5000 0.5000 0.5000 1
W1 0.1612 0.6612 0.5000 1
W2 0.3388 0.1612 0.5000 1
W3 0.6612 0.8388 0.5000 1
W4 0.8388 0.3388 0.5000 1
```

Computed properties:
distance to the lowest polymorph of the same formula: 0 kJ/mol of formula units
SG: P4/mbm, No. 127

***

Entry 4:
The following is a PBE calculation of a relaxed structure of Pr4Dy6Y, from Alexandria via LeMat-Bulk.

```
data_Pr4Dy6Y
_chemical_formula_sum 'Pr4 Dy6 Y1'
_space_group_name_H-M_alt 'P 1'
_space_group_IT_number 1
_cell_length_a 9.7674
_cell_length_b 9.7674
_cell_length_c 9.7674
_cell_angle_alpha 139.83
_cell_angle_beta 139.83
_cell_angle_gamma 58.12
loop_
_space_group_symop_operation_xyz
'x,y,z'
loop_
_atom_site_label
_atom_site_fract_x
_atom_site_fract_y
_atom_site_fract_z
_atom_site_occupancy
Pr1 0.0137 0.6332 0.0000 1
Pr2 0.3668 0.3668 0.3806 1
Pr3 0.6332 0.0137 0.0000 1
Pr4 0.9863 0.9863 0.6194 1
Dy1 0.0000 0.5000 0.5000 1
Dy2 0.2001 0.2001 0.6459 1
Dy3 0.4458 0.7999 0.0000 1
Dy4 0.5000 0.0000 0.5000 1
Dy5 0.5542 0.5542 0.3541 1
Dy6 0.7999 0.4458 0.0000 1
Y1 0.0000 0.0000 0.0000 1
```

Computed properties:
ΔE_f: 295 meV/atom
distance to the lowest polymorph of the same formula: 0 kJ/mol of formula units
SG: I-42m, No. 121

***

Entry 5:
The following is a PBE calculation of a relaxed structure of PmSc4Al5, from Alexandria via LeMat-Bulk.

```
data_PmSc4Al5
_chemical_formula_sum 'Pm1 Sc4 Al5'
_space_group_name_H-M_alt 'P 1'
_space_group_IT_number 1
_cell_length_a 3.4377
_cell_length_b 3.4377
_cell_length_c 17.2492
_cell_angle_alpha 90.00
_cell_angle_beta 90.00
_cell_angle_gamma 90.00
loop_
_space_group_symop_operation_xyz
'x,y,z'
loop_
_atom_site_label
_atom_site_fract_x
_atom_site_fract_y
_atom_site_fract_z
_atom_site_occupancy
Pm1 0.0000 0.0000 0.0000 1
Sc1 0.0000 0.0000 0.2135 1
Sc2 0.0000 0.0000 0.4048 1
Sc3 0.0000 0.0000 0.5952 1
Sc4 0.0000 0.0000 0.7865 1
Al1 0.5000 0.5000 0.1197 1
Al2 0.5000 0.5000 0.3093 1
Al3 0.5000 0.5000 0.5000 1
Al4 0.5000 0.5000 0.6908 1
Al5 0.5000 0.5000 0.8803 1
```

Computed properties:
ΔE_f: -427 meV/atom
SG: P4/mmm, No. 123

***

Entry 6:
The following is a PBE calculation of a relaxed structure of ReRu2Pt, from Alexandria via LeMat-Bulk.

```
data_ReRu2Pt
_chemical_formula_sum 'Re1 Ru2 Pt1'
_space_group_name_H-M_alt 'P 1'
_space_group_IT_number 1
_cell_length_a 2.7203
_cell_length_b 2.7203
_cell_length_c 7.8670
_cell_angle_alpha 90.00
_cell_angle_beta 90.00
_cell_angle_gamma 90.00
loop_
_space_group_symop_operation_xyz
'x,y,z'
loop_
_atom_site_label
_atom_site_fract_x
_atom_site_fract_y
_atom_site_fract_z
_atom_site_occupancy
Re1 0.0000 0.0000 0.0000 1
Ru1 0.0000 0.0000 0.4827 1
Ru2 0.5000 0.5000 0.2477 1
Pt1 0.5000 0.5000 0.7456 1
```

Computed properties:
ΔE_f: 18 meV/atom
distance to the lowest polymorph of the same formula: 15 kJ/mol of formula units
SG: P4mm, No. 99

***

Mass density across the listed records, respectively: 10.97; 8.51; 14.81; 7.03; 3.74; 16.64 g cm⁻³.